Record 1
Compound: AlPbSe2
Source: Alexandria via LeMat-Bulk
Functional: SCAN
Structure: single point on PBEsol structure

a b c (Å): 4.2827 4.2827 8.4343
angles (deg): 75.29 75.29 60.00
Closest atoms and distances in Å follow each position.
Fractional coordinates of all 4 atoms:
1 Pb 0.5000 0.5000 0.5000  6 Se 3.01
2 Al 0.0000 0.0000 0.0000  2 Se 2.32
3 Se 0.9040 0.9040 0.2879  1 Al 2.32
4 Se 0.0960 0.0960 0.7121  1 Al 2.32

## Properties
- Raw formation energy: -0.1190 eV/atom
- Crystal system: trigonal
- SG: R-3m
- Electronic total energy: -31.041 eV per atom
- N(E_F): 1.6 states/eV/cell

=====

Record 2
Compound: NiHgS2
Source: Alexandria via LeMat-Bulk
Functional: SCAN
Structure: single point on PBEsol structure

a b c (Å): 5.5659 5.5659 6.4477
angles (deg): 115.57 115.57 90.00
Closest atoms and distances in Å follow each position.
Fractional coordinates of all 8 atoms:
1 Ni 0.7500 0.2500 0.5000  4 S 2.15
2 Ni 0.5000 0.5000 0.0000  4 S 2.15
3 S 0.4422 0.8750 0.2500  2 Ni 2.15
4 S 0.8078 0.3750 0.2500  2 Ni 2.15
5 S 0.1250 0.1922 0.7500  2 Ni 2.15
6 S 0.6250 0.5578 0.7500  2 Ni 2.15
7 Hg 0.2500 0.7500 0.5000  4 S 2.59
8 Hg 0.0000 0.0000 0.0000  4 S 2.59

## Properties
- Raw formation energy: -0.2010 eV/atom
- Crystal system: tetragonal
- SG: I-42d
- Electronic total energy: -26.100 eV per atom
- N(E_F): 3.9 states/eV/cell

=====

Record 3
Compound: CoHgBr3
Source: Alexandria via LeMat-Bulk
Functional: SCAN
Structure: single point on PBEsol structure

a b c (Å): 5.3957 5.3957 5.3957
angles (deg): 90.00 90.00 90.00
Closest atoms and distances in Å follow each position.
Fractional coordinates of all 5 atoms:
1 Co 0.5000 0.5000 0.5000  12 Br 3.82
2 Hg 0.0000 0.0000 0.0000  6 Br 2.70
3 Br 0.0000 0.5000 0.0000  2 Hg 2.70
4 Br 0.0000 0.0000 0.5000  2 Hg 2.70
5 Br 0.5000 0.0000 0.0000  2 Hg 2.70

## Properties
- Raw formation energy: 0.4463 eV/atom
- Crystal system: cubic
- SG: Pm-3m
- Electronic total energy: -28.323 eV per atom
- N(E_F): 4.6 states/eV/cell

=====

Record 4
Compound: CaZr2P
Source: Alexandria via LeMat-Bulk
Functional: SCAN
Structure: single point on PBEsol structure

a b c (Å): 3.3934 5.1584 5.9826
angles (deg): 115.54 106.48 90.00
Closest atoms and distances in Å follow each position.
Fractional coordinates of all 4 atoms:
1 Ca 0.5000 0.0000 0.0000  4 P 3.09, 4 Zr 3.21, 2 Ca 3.39
2 P 0.0000 0.5000 0.0000  4 Zr 2.56
3 Zr 0.6866 0.6866 0.3732  2 P 2.56
4 Zr 0.3134 0.3134 0.6268  2 P 2.56

## Properties
- ΔE_f: -2.0 eV/f.u.
- Crystal system: orthorhombic
- SG: Immm
- Electronic total energy: -20.855 eV per atom
- N(E_F): 3.4 states/eV/cell

=====

Record 5
Compound: BaTe2Au
Source: Alexandria via LeMat-Bulk
Functional: SCAN
Structure: single point on PBEsol structure

a b c (Å): 4.6055 4.6052 6.8797
angles (deg): 109.80 109.56 90.00
Closest atoms and distances in Å follow each position.
Fractional coordinates of all 4 atoms:
1 Au 0.5625 0.1875 0.1249  4 Te 2.70
2 Ba 0.3125 0.4372 0.6250  8 Te 3.62-3.64, 4 Au 3.79-3.81
3 Te 0.9459 0.0695 0.8919  2 Au 2.70
4 Te 0.6791 0.8058 0.3582  2 Au 2.70

## Properties
- Raw formation energy: -0.9982 eV/atom
- Crystal system: monoclinic
- SG: Cm
- Electronic total energy: -46.801 eV per atom
- Energy above the lowest structure with this stoichiometry: 15.4 meV per atom
- N(E_F): 2.3 states/eV/cell

=====

Record 6
Compound: KErP4O12
Source: Alexandria via LeMat-Bulk
Functional: SCAN
Structure: single point on PBEsol structure

a b c (Å): 8.8326 10.2273 10.8172
angles (deg): 106.17 90.00 90.00
Closest atoms and distances in Å follow each position.
Fractional coordinates of all 72 atoms:
1 K 0.5609 0.2911 0.0408  4 O 2.73-3.01
2 K 0.0609 0.2089 0.4592  4 O 2.73-3.01
3 K 0.4391 0.7089 0.9592  4 O 2.73-3.01
4 K 0.9391 0.7911 0.5408  4 O 2.73-3.01
5 Er 0.2716 0.5014 0.3157  8 O 2.24-2.40
6 Er 0.7716 0.9986 0.1843  8 O 2.24-2.40
7 Er 0.7284 0.4986 0.6843  8 O 2.24-2.40
8 Er 0.2284 0.0014 0.8157  8 O 2.24-2.40
9 P 0.3884 0.8243 0.5226  4 O 1.49-1.61
10 P 0.8884 0.6757 0.9774  4 O 1.49-1.61
11 P 0.6116 0.1757 0.4774  4 O 1.49-1.61
12 P 0.1116 0.3243 0.0226  4 O 1.49-1.61
13 P 0.5933 0.8505 0.7418  4 O 1.49-1.61
14 P 0.0933 0.6495 0.7582  4 O 1.49-1.61
15 P 0.4067 0.1495 0.2582  4 O 1.49-1.61
16 P 0.9067 0.3505 0.2418  4 O 1.49-1.61
17 P 0.5218 0.7533 0.2742  4 O 1.49-1.62
18 P 0.0218 0.7467 0.2258  4 O 1.49-1.62
19 P 0.4782 0.2467 0.7258  4 O 1.49-1.62
20 P 0.9782 0.2533 0.7742  4 O 1.49-1.62
21 P 0.6690 0.5407 0.3656  4 O 1.49-1.62
22 P 0.1690 0.9592 0.1344  4 O 1.49-1.62
23 P 0.3310 0.4592 0.6344  4 O 1.49-1.62
24 P 0.8310 0.0408 0.8656  4 O 1.49-1.62
25 O 0.3295 0.6820 0.4804  1 P 1.49
26 O 0.8295 0.8180 0.0196  1 P 1.49
27 O 0.6705 0.3180 0.5196  1 P 1.49
28 O 0.1705 0.1820 0.9804  1 P 1.49
29 O 0.4492 0.8635 0.3970  2 P 1.61-1.62
30 O 0.9492 0.6365 0.1030  2 P 1.61-1.62
31 O 0.5508 0.1365 0.6030  2 P 1.61-1.62
32 O 0.0508 0.3635 0.8970  2 P 1.61-1.62
33 O 0.6562 0.6882 0.3394  2 P 1.61-1.62
34 O 0.1562 0.8118 0.1606  2 P 1.61-1.62
35 O 0.3438 0.3118 0.6606  2 P 1.61-1.62
36 O 0.8438 0.1882 0.8394  2 P 1.61-1.62
37 O 0.4099 0.6439 0.2129  1 P 1.50
38 O 0.9099 0.8561 0.2871  1 P 1.50
39 O 0.5901 0.3561 0.7871  1 P 1.50
40 O 0.0901 0.1439 0.7129  1 P 1.50
41 O 0.2878 0.9355 0.5988  1 P 1.50
42 O 0.7878 0.5645 0.9012  1 P 1.50
43 O 0.7122 0.0645 0.4012  1 P 1.50
44 O 0.2122 0.4355 0.0988  1 P 1.50
45 O 0.4585 0.8995 0.8260  1 P 1.50
46 O 0.9585 0.6005 0.6740  1 P 1.50
47 O 0.5415 0.1005 0.1740  1 P 1.50
48 O 0.0415 0.3995 0.3260  1 P 1.50
49 O 0.7120 0.9730 0.7524  2 P 1.61-1.62
50 O 0.2120 0.5270 0.7476  2 P 1.61-1.62
51 O 0.2880 0.0270 0.2476  2 P 1.61-1.62
52 O 0.7880 0.4730 0.2524  2 P 1.61-1.62
53 O 0.3217 0.2693 0.2407  1 P 1.49
54 O 0.8217 0.2307 0.2593  1 P 1.49
55 O 0.6783 0.7307 0.7593  1 P 1.49
56 O 0.1783 0.7693 0.7407  1 P 1.49
57 O 0.5240 0.4633 0.3333  1 P 1.50
58 O 0.0240 0.0367 0.1667  1 P 1.50
59 O 0.4760 0.5367 0.6667  1 P 1.50
60 O 0.9760 0.9633 0.8333  1 P 1.50
61 O 0.5489 0.8254 0.5941  2 P 1.60-1.61
62 O 0.0489 0.6746 0.9059  2 P 1.60-1.61
63 O 0.4511 0.1746 0.4059  2 P 1.60-1.61
64 O 0.9511 0.3254 0.0941  2 P 1.60-1.61
65 O 0.4097 0.1683 0.8095  1 P 1.49
66 O 0.9097 0.3317 0.6905  1 P 1.49
67 O 0.5903 0.8317 0.1905  1 P 1.49
68 O 0.0903 0.6683 0.3095  1 P 1.49
69 O 0.7426 0.5649 0.4944  1 P 1.49
70 O 0.2426 0.9351 0.0056  1 P 1.49
71 O 0.2574 0.4351 0.5056  1 P 1.49
72 O 0.7574 0.0649 0.9944  1 P 1.49

## Properties
- Raw formation energy: -2.7348 eV/atom
- Crystal system: monoclinic
- SG: P2_1/c
- Electronic total energy: -12.459 eV per atom
- Energy above the lowest structure with this stoichiometry: 0.0 meV per atom
- N(E_F): 0.0 states/eV/cell

=====

Record 7
Compound: Mg2SiPd2
Source: Alexandria via LeMat-Bulk
Functional: SCAN
Structure: single point on PBEsol structure

a b c (Å): 4.2538 6.2578 6.2578
angles (deg): 90.00 90.00 90.00
Closest atoms and distances in Å follow each position.
Fractional coordinates of all 10 atoms:
1 Si 0.0000 0.0000 0.0000  4 Pd 2.37
2 Si 0.0000 0.5000 0.5000  4 Pd 2.37
3 Mg 0.5000 0.1643 0.6643  6 Pd 2.67-2.91, 1 Mg 2.91
4 Mg 0.5000 0.6643 0.8357  6 Pd 2.67-2.91, 1 Mg 2.91
5 Mg 0.5000 0.8357 0.3357  6 Pd 2.67-2.91, 1 Mg 2.91
6 Mg 0.5000 0.3357 0.1643  6 Pd 2.67-2.91, 1 Mg 2.91
7 Pd 0.0000 0.3465 0.8465  2 Si 2.37
8 Pd 0.0000 0.8465 0.6535  2 Si 2.37
9 Pd 0.0000 0.6535 0.1535  2 Si 2.37
10 Pd 0.0000 0.1535 0.3465  2 Si 2.37

## Properties
- Raw formation energy: -0.6172 eV/atom
- Crystal system: tetragonal
- SG: P4/mbm
- Electronic total energy: -17.720 eV per atom
- N(E_F): 3.6 states/eV/cell

=====

Record 8
Compound: CdSi2MoI
Source: Alexandria via LeMat-Bulk
Functional: SCAN
Structure: single point on PBEsol structure

a b c (Å): 5.0503 5.2159 5.2159
angles (deg): 90.00 90.00 90.00
Closest atoms and distances in Å follow each position.
Fractional coordinates of all 5 atoms:
1 I 0.0000 0.0000 0.0000  2 Mo 2.53, 4 Si 2.61
2 Mo 0.5000 0.0000 0.0000  2 I 2.53
3 Si 0.0000 0.0000 0.5000  2 I 2.61
4 Si 0.0000 0.5000 0.0000  2 I 2.61
5 Cd 0.5000 0.5000 0.5000  8 Si 3.63, 4 Mo 3.69

## Properties
- Raw formation energy: 1.9524 eV/atom
- Crystal system: tetragonal
- SG: P4/mmm
- Electronic total energy: -22.462 eV per atom
- N(E_F): 2.8 states/eV/cell

=====

Record 9
Compound: NaZr2Se2
Source: Alexandria via LeMat-Bulk
Functional: SCAN
Structure: single point on PBEsol structure

a b c (Å): 4.1739 4.1739 7.3161
angles (deg): 106.57 106.57 90.00
Closest atoms and distances in Å follow each position.
Fractional coordinates of all 5 atoms:
1 Na 0.0000 0.0000 0.0000  8 Se 3.35
2 Se 0.3812 0.3812 0.7624  4 Zr 2.73
3 Se 0.6188 0.6188 0.2376  4 Zr 2.73
4 Zr 0.2500 0.7500 0.5000  4 Se 2.73, 4 Zr 2.95
5 Zr 0.7500 0.2500 0.5000  4 Se 2.73, 4 Zr 2.95

## Properties
- Raw formation energy: -0.9582 eV/atom
- Crystal system: tetragonal
- SG: I4/mmm
- Electronic total energy: -22.112 eV per atom
- N(E_F): 2.7 states/eV/cell

=====

Record 10
Compound: AlInPdPt2
Source: Alexandria via LeMat-Bulk
Functional: SCAN
Structure: single point on PBEsol structure

a b c (Å): 4.7644 4.8516 4.8516
angles (deg): 90.00 90.00 90.00
Closest atoms and distances in Å follow each position.
Fractional coordinates of all 5 atoms:
1 Al 0.5000 0.5000 0.5000  8 Pt 3.40, 4 Pd 3.43
2 Pd 0.5000 0.0000 0.0000  2 In 2.38
3 Pt 0.0000 0.0000 0.5000  2 In 2.43
4 Pt 0.0000 0.5000 0.0000  2 In 2.43
5 In 0.0000 0.0000 0.0000  2 Pd 2.38, 4 Pt 2.43

## Properties
- ΔE_f: 4.7 eV/f.u.
- Crystal system: tetragonal
- SG: P4/mmm
- Electronic total energy: -41.918 eV per atom
- N(E_F): 2.7 states/eV/cell

=====

Record 11
Compound: LiCa2As
Source: Alexandria via LeMat-Bulk
Functional: SCAN
Structure: single point on PBEsol structure

a b c (Å): 5.1797 5.1797 5.1797
angles (deg): 60.00 60.00 60.00
Closest atoms and distances in Å follow each position.
Fractional coordinates of all 4 atoms:
1 As 0.5000 0.5000 0.5000  4 Li 3.17, 4 Ca 3.17
2 Ca 0.0000 0.0000 0.0000  4 Li 3.17, 4 Ca 3.17
3 Ca 0.7500 0.7500 0.7500  4 Ca 3.17, 4 As 3.17
4 Li 0.2500 0.2500 0.2500  4 As 3.17, 4 Ca 3.17

## Properties
- ΔE_f: -0.8 eV/f.u.
- Crystal system: cubic
- SG: F-43m
- Electronic total energy: -10.673 eV per atom
- N(E_F): 3.0 states/eV/cell